TmMo2N4: relaxed, PBE-GGA.

Computed properties:
formation energy (no corrections) = -714 meV/atom
calculated volume = 11.267 Å³/atom
DOS at the Fermi energy = 3.4 states/eV/f.u.

```
14
Lattice="3.1072 0.0000 0.0000 -1.5536 4.9970 0.0000 0.0000 0.0000 10.1588" Properties=species:S:1:pos:R:3 pbc="T T T"
N 1.5536 0.0000 5.0794
Tm 0.0000 3.7265 2.5397
N 1.5536 4.3965 7.6191
Mo 0.0000 1.1860 4.4121
N 0.0000 0.6005 2.5397
N 1.5536 0.0000 0.0000
N 1.5536 2.6631 3.9562
Mo 1.5536 3.8110 9.4914
Mo 1.5536 3.8110 5.7467
N 1.5536 2.6631 1.1232
N 0.0000 2.3340 6.2026
Tm 1.5536 1.2706 7.6191
Mo 0.0000 1.1860 0.6673
N 0.0000 2.3340 9.0356
```